Arrangement i

# PmHSe (PBE-GGA, optimized geometry)
data_PmHSe
_cell_length_a 3.928
_cell_length_b 3.928
_cell_length_c 8.031
_cell_angle_alpha 90.00
_cell_angle_beta 90.00
_cell_angle_gamma 90.00
_space_group_name_H-M_alt 'I 4 m m'
_space_group_IT_number 107
_space_group_name_Hall 'I 4 -2'
loop_
_atom_site_label
_atom_site_fract_x
_atom_site_fract_y
_atom_site_fract_z
Pm1 0.000 0.000 0.000
H1 0.000 0.000 0.722
Se1 0.000 0.000 0.371
# Fermi-level density of states (states/eV/cell): 1.0

---

Arrangement ii

# PmHSe (PBE-GGA, optimized geometry)
data_PmHSe
_cell_length_a 3.9594
_cell_length_b 3.9594
_cell_length_c 4.0074
_cell_angle_alpha 90.00
_cell_angle_beta 90.00
_cell_angle_gamma 120.00
_space_group_name_H-M_alt 'P -6 m 2'
_space_group_IT_number 187
_space_group_name_Hall 'P -6 2'
loop_
_atom_site_label
_atom_site_fract_x
_atom_site_fract_y
_atom_site_fract_z
Pm1 0.0000 0.0000 0.0000
H1 0.3333 0.6667 0.0000
Se1 0.6667 0.3333 0.5000
# Fermi-level density of states (states/eV/cell): 0.0

---

The winner here is arrangement ii, beating the second structure by 548 meV per atom.

---

Arrangement i

# Pm2HSe (PBE-GGA, optimized geometry)
data_Pm2HSe
_cell_length_a 3.8628
_cell_length_b 3.8628
_cell_length_c 20.2973
_cell_angle_alpha 90.00
_cell_angle_beta 90.00
_cell_angle_gamma 120.00
_space_group_name_H-M_alt 'R -3 m'
_space_group_IT_number 166
_space_group_name_Hall '-R 3 2"'
loop_
_atom_site_label
_atom_site_fract_x
_atom_site_fract_y
_atom_site_fract_z
Pm1 0.0000 0.0000 0.2384
H1 0.0000 0.0000 0.5000
Se1 0.0000 0.0000 0.0000
# Fermi-level density of states (states/eV/cell): 11.0

---

Arrangement ii

# Pm2HSe (PBE-GGA, optimized geometry)
data_Pm2HSe
_cell_length_a 3.8916
_cell_length_b 3.8916
_cell_length_c 22.4232
_cell_angle_alpha 90.00
_cell_angle_beta 90.00
_cell_angle_gamma 120.00
_space_group_name_H-M_alt 'R 3 m'
_space_group_IT_number 160
_space_group_name_Hall 'R 3 -2"'
loop_
_atom_site_label
_atom_site_fract_x
_atom_site_fract_y
_atom_site_fract_z
Pm1 0.0000 0.0000 0.0000
Pm2 0.0000 0.0000 0.1643
H1 0.0000 0.0000 0.3526
Se1 0.0000 0.0000 0.5817
# Fermi-level density of states (states/eV/cell): 7.6

---

The winner here is arrangement i, beating the second structure by 111 meV per atom.

---

Arrangement i

# Pm3SiH (PBE-GGA, optimized geometry)
data_Pm3SiH
_cell_length_a 4.797
_cell_length_b 4.797
_cell_length_c 4.797
_cell_angle_alpha 90.00
_cell_angle_beta 90.00
_cell_angle_gamma 90.00
_space_group_name_H-M_alt 'P m -3 m'
_space_group_IT_number 221
_space_group_name_Hall '-P 4 2 3'
loop_
_atom_site_label
_atom_site_fract_x
_atom_site_fract_y
_atom_site_fract_z
Pm1 0.000 0.000 0.500
Si1 0.500 0.500 0.500
H1 0.000 0.000 0.000
# Fermi-level density of states (states/eV/cell): 5.1

---

Arrangement ii

# Pm3SiH (PBE-GGA, optimized geometry)
data_Pm3SiH
_cell_length_a 6.705
_cell_length_b 6.333
_cell_length_c 10.910
_cell_angle_alpha 90.00
_cell_angle_beta 97.11
_cell_angle_gamma 90.00
_space_group_name_H-M_alt 'P 1 21/c 1'
_space_group_IT_number 14
loop_
_space_group_symop_operation_xyz
'x,y,z'
'-x,-y,-z'
'-x,y+1/2,-z+1/2'
'x,-y+1/2,z+1/2'
loop_
_atom_site_label
_atom_site_fract_x
_atom_site_fract_y
_atom_site_fract_z
Pm1 0.065 0.069 0.160
Pm2 0.217 0.549 0.084
Pm3 0.400 0.163 0.878
Si1 0.358 0.681 0.844
H1 0.085 0.235 0.968
# Fermi-level density of states (states/eV/cell): 15.9

---

The winner here is arrangement ii, beating the second structure by 32 meV per atom.

---

Arrangement i

# PmSiH (PBE-GGA, optimized geometry)
data_PmSiH
_cell_length_a 11.141
_cell_length_b 3.827
_cell_length_c 5.560
_cell_angle_alpha 90.00
_cell_angle_beta 103.63
_cell_angle_gamma 90.00
_space_group_name_H-M_alt 'C 1 2/m 1'
_space_group_IT_number 12
loop_
_space_group_symop_operation_xyz
'x,y,z'
'-x,-y,-z'
'-x,y,-z'
'x,-y,z'
'x+1/2,y+1/2,z'
'-x+1/2,-y+1/2,-z'
'-x+1/2,y+1/2,-z'
'x+1/2,-y+1/2,z'
loop_
_atom_site_label
_atom_site_fract_x
_atom_site_fract_y
_atom_site_fract_z
Pm1 0.099 0.000 0.306
Si1 0.208 0.000 0.871
H1 0.005 0.500 0.270
# Fermi-level density of states (states/eV/cell): 2.5

---

Arrangement ii

# PmSiH (PBE-GGA, optimized geometry)
data_PmSiH
_cell_length_a 4.134
_cell_length_b 3.932
_cell_length_c 6.337
_cell_angle_alpha 90.00
_cell_angle_beta 109.00
_cell_angle_gamma 90.00
_space_group_name_H-M_alt 'P 1 21/m 1'
_space_group_IT_number 11
loop_
_space_group_symop_operation_xyz
'x,y,z'
'-x,-y,-z'
'-x,y+1/2,-z'
'x,-y+1/2,z'
loop_
_atom_site_label
_atom_site_fract_x
_atom_site_fract_y
_atom_site_fract_z
Pm1 0.145 0.250 0.291
Si1 0.444 0.250 0.886
H1 0.256 0.750 0.510
# Fermi-level density of states (states/eV/cell): 0.8

---

The winner here is arrangement ii, beating the second structure by 495 meV per atom.

---

Arrangement i

# PmSiH (PBE-GGA, optimized geometry)
data_PmSiH
_cell_length_a 4.0092
_cell_length_b 4.0092
_cell_length_c 21.9291
_cell_angle_alpha 90.00
_cell_angle_beta 90.00
_cell_angle_gamma 120.00
_space_group_name_H-M_alt 'R -3 m'
_space_group_IT_number 166
_space_group_name_Hall '-R 3 2"'
loop_
_atom_site_label
_atom_site_fract_x
_atom_site_fract_y
_atom_site_fract_z
Pm1 0.0000 0.0000 0.0947
Si1 0.0000 0.0000 0.3399
H1 0.0000 0.0000 0.2009
# Fermi-level density of states (states/eV/cell): 2.4

---

Arrangement ii

# PmSiH (PBE-GGA, optimized geometry)
data_PmSiH
_cell_length_a 3.7144
_cell_length_b 3.7144
_cell_length_c 4.6776
_cell_angle_alpha 90.00
_cell_angle_beta 90.00
_cell_angle_gamma 120.00
_space_group_name_H-M_alt 'P -6 m 2'
_space_group_IT_number 187
_space_group_name_Hall 'P -6 2'
loop_
_atom_site_label
_atom_site_fract_x
_atom_site_fract_y
_atom_site_fract_z
Pm1 0.0000 0.0000 0.0000
Si1 0.6667 0.3333 0.5000
H1 0.3333 0.6667 0.0000
# Fermi-level density of states (states/eV/cell): 0.8

---

The winner here is arrangement i, beating the second structure by 358 meV per atom.

---

Arrangement i

# Pm2SiH (PBE-GGA, optimized geometry)
data_Pm2SiH
_cell_length_a 6.978
_cell_length_b 6.978
_cell_length_c 6.978
_cell_angle_alpha 90.00
_cell_angle_beta 90.00
_cell_angle_gamma 90.00
_space_group_name_H-M_alt 'F m -3 m'
_space_group_IT_number 225
_space_group_name_Hall '-F 4 2 3'
loop_
_atom_site_label
_atom_site_fract_x
_atom_site_fract_y
_atom_site_fract_z
Pm1 0.250 0.250 0.250
Si1 0.000 0.000 0.000
H1 0.000 0.000 0.500
# Fermi-level density of states (states/eV/cell): 7.1

---

Arrangement ii

# Pm2SiH (PBE-GGA, optimized geometry)
data_Pm2SiH
_cell_length_a 4.1678
_cell_length_b 4.1678
_cell_length_c 17.8391
_cell_angle_alpha 90.00
_cell_angle_beta 90.00
_cell_angle_gamma 120.00
_space_group_name_H-M_alt 'R -3 m'
_space_group_IT_number 166
_space_group_name_Hall '-R 3 2"'
loop_
_atom_site_label
_atom_site_fract_x
_atom_site_fract_y
_atom_site_fract_z
Pm1 0.0000 0.0000 0.2443
Si1 0.0000 0.0000 0.0000
H1 0.0000 0.0000 0.5000
# Fermi-level density of states (states/eV/cell): 8.2

---

The winner here is arrangement ii, beating the second structure by 98 meV per atom.

---

Arrangement i

# Pm2SiH (PBE-GGA, optimized geometry)
data_Pm2SiH
_cell_length_a 3.350
_cell_length_b 3.350
_cell_length_c 7.181
_cell_angle_alpha 90.00
_cell_angle_beta 90.00
_cell_angle_gamma 90.00
_space_group_name_H-M_alt 'P 4/m m m'
_space_group_IT_number 123
_space_group_name_Hall '-P 4 2'
loop_
_atom_site_label
_atom_site_fract_x
_atom_site_fract_y
_atom_site_fract_z
Pm1 0.000 0.000 0.239
Si1 0.500 0.500 0.500
H1 0.500 0.500 0.000
# Fermi-level density of states (states/eV/cell): 2.1

---

Arrangement ii

# Pm2SiH (PBE-GGA, optimized geometry)
data_Pm2SiH
_cell_length_a 6.2473
_cell_length_b 6.2473
_cell_length_c 8.2350
_cell_angle_alpha 90.00
_cell_angle_beta 90.00
_cell_angle_gamma 120.00
_space_group_name_H-M_alt 'P 31 2 1'
_space_group_IT_number 152
loop_
_space_group_symop_operation_xyz
'x,y,z'
'-y,x-y,z+1/3'
'-x+y,-x,z+2/3'
'y,x,-z'
'x-y,-y,-z+2/3'
'-x,-x+y,-z+1/3'
loop_
_atom_site_label
_atom_site_fract_x
_atom_site_fract_y
_atom_site_fract_z
Pm1 0.1075 0.3929 0.3781
Si1 0.0000 0.5944 0.6667
H1 0.0000 0.5501 0.1667
# Fermi-level density of states (states/eV/cell): 7.8

---

The winner here is arrangement ii, beating the second structure by 166 meV per atom.

---

Arrangement i

# Pm2SmH (PBE-GGA, optimized geometry)
data_Pm2SmH
_cell_length_a 3.432
_cell_length_b 3.432
_cell_length_c 8.682
_cell_angle_alpha 90.00
_cell_angle_beta 90.00
_cell_angle_gamma 90.00
_space_group_name_H-M_alt 'P 4/m m m'
_space_group_IT_number 123
_space_group_name_Hall '-P 4 2'
loop_
_atom_site_label
_atom_site_fract_x
_atom_site_fract_y
_atom_site_fract_z
Pm1 0.000 0.000 0.189
Sm1 0.500 0.500 0.500
H1 0.500 0.500 0.000
# Fermi-level density of states (states/eV/cell): 3.6

---

Arrangement ii

# Pm2SmH (PBE-GGA, optimized geometry)
data_Pm2SmH
_cell_length_a 3.6955
_cell_length_b 3.6955
_cell_length_c 26.2412
_cell_angle_alpha 90.00
_cell_angle_beta 90.00
_cell_angle_gamma 120.00
_space_group_name_H-M_alt 'R -3 m'
_space_group_IT_number 166
_space_group_name_Hall '-R 3 2"'
loop_
_atom_site_label
_atom_site_fract_x
_atom_site_fract_y
_atom_site_fract_z
Pm1 0.0000 0.0000 0.2213
Sm1 0.0000 0.0000 0.0000
H1 0.0000 0.0000 0.5000
# Fermi-level density of states (states/eV/cell): 7.6

---

The winner here is arrangement ii, beating the second structure by 265 meV per atom.